Material: ReOs2Se
Method: DFT, PBE
State: relaxed

abc: 2.841 3.784 5.819
angles: 90.00 90.00 90.00
Sites, in units of the cell vectors:
Re 0.000 0.000 0.000
Os 0.000 0.000 0.535
Os 0.500 0.500 0.789
Se 0.500 0.500 0.333

Calculated values
Formation energy from raw total energies (kJ/mol of atoms): 66.3
Space group: Pmm2, No. 25